4
Lattice="3.786 0.000 0.000 0.000 3.786 0.000 0.000 0.000 2.772" Properties=species:S:1:pos:R:3 comment="Be2NiRh, optimized geometry, DFT PBE-GGA" magnetic_moment_mub_per_cell=0.000 energy_ev_per_atom=-5.7335 pbc="T T T"
Be 0.000 1.893 0.000
Be 1.893 0.000 0.000
Ni 0.000 0.000 1.386
Rh 1.893 1.893 1.386